# MnTl2BiO6

MnTl2BiO6 after structural relaxation (PBE+U, Alexandria via LeMat-Bulk).

- E: -5.42 eV per atom
- ρ: 7.41 g/cm³

Lattice parameters (Å, degrees): 9.662 12.391 6.443 90.00 116.73 90.00
Space group C2/c (No. 15)
Asymmetric unit:
Mn: 0.000 0.174 0.250
Tl: 0.128 0.408 0.641
Bi: 0.000 0.096 0.750
O: 0.075 0.240 0.549
O: 0.106 0.065 0.163
O: 0.141 0.436 0.996